1.
The following is a PBE calculation of a relaxed Cu3Ag2 crystal, from OQMD.

Cell and atoms, written as CIF:
```
data_Cu3Ag2
_symmetry_space_group_name_H-M 'C 1 m 1'
_symmetry_Int_Tables_number 8
_symmetry_space_group_name_Hall 'C -2y'
_cell_length_a 9.123
_cell_length_b 2.809
_cell_length_c 11.279
_cell_angle_alpha 90.00
_cell_angle_beta 98.37
_cell_angle_gamma 90.00
loop_
_atom_site_label
_atom_site_type_symbol
_atom_site_fract_x
_atom_site_fract_y
_atom_site_fract_z
Cu1 Cu 0.000 0.000 0.000
Cu2 Cu 0.014 0.500 0.462
Cu3 Cu 0.112 0.500 0.166
Cu4 Cu 0.192 0.500 0.911
Cu5 Cu 0.309 0.000 0.087
Cu6 Cu 0.427 0.500 0.264
Ag1 Ag 0.104 0.000 0.688
Ag2 Ag 0.219 0.000 0.358
Ag3 Ag 0.315 0.500 0.573
Ag4 Ag 0.395 0.000 0.807
```

Formation enthalpy at 0 K (meV per atom): 78.8


2.
The following is a PBE calculation of a relaxed CuAg crystal, from OQMD.

Cell and atoms, written as CIF:
```
data_CuAg
_symmetry_space_group_name_H-M 'C 1 m 1'
_symmetry_Int_Tables_number 8
_symmetry_space_group_name_Hall 'C -2y'
_cell_length_a 18.275
_cell_length_b 2.866
_cell_length_c 5.760
_cell_angle_alpha 90.00
_cell_angle_beta 99.06
_cell_angle_gamma 90.00
loop_
_atom_site_label
_atom_site_type_symbol
_atom_site_fract_x
_atom_site_fract_y
_atom_site_fract_z
Cu1 Cu 0.000 0.000 0.000
Cu2 Cu 0.001 0.000 0.545
Cu3 Cu 0.093 0.500 0.819
Cu4 Cu 0.416 0.000 0.728
Cu5 Cu 0.424 0.000 0.236
Ag1 Ag 0.090 0.500 0.317
Ag2 Ag 0.200 0.000 0.116
Ag3 Ag 0.201 0.000 0.628
Ag4 Ag 0.318 0.500 0.428
Ag5 Ag 0.320 0.500 0.936
```

Formation enthalpy at 0 K (meV per atom): 62.6


3.
The following is a PBE calculation of a relaxed Cu3Ag2 crystal, from OQMD.

Cell and atoms, written as CIF:
```
data_Cu3Ag2
_symmetry_space_group_name_H-M 'C m c m'
_symmetry_Int_Tables_number 63
_symmetry_space_group_name_Hall '-C 2c 2'
_cell_length_a 3.780
_cell_length_b 19.363
_cell_length_c 3.902
_cell_angle_alpha 90.00
_cell_angle_beta 90.00
_cell_angle_gamma 90.00
loop_
_atom_site_label
_atom_site_type_symbol
_atom_site_fract_x
_atom_site_fract_y
_atom_site_fract_z
Cu1 Cu 0.000 0.052 0.250
Cu2 Cu 0.000 0.157 0.750
Cu3 Cu 0.000 0.251 0.250
Ag1 Ag 0.000 0.345 0.750
Ag2 Ag 0.000 0.448 0.250
```

Formation enthalpy at 0 K (meV per atom): 94.3


4.
The following is a PBE calculation of a relaxed Cu4Ag5 crystal, from OQMD.

Cell and atoms, written as CIF:
```
data_Cu4Ag5
_symmetry_space_group_name_H-M 'C 1 2/m 1'
_symmetry_Int_Tables_number 12
_symmetry_space_group_name_Hall '-C 2y'
_cell_length_a 14.145
_cell_length_b 2.853
_cell_length_c 6.824
_cell_angle_alpha 90.00
_cell_angle_beta 93.66
_cell_angle_gamma 90.00
loop_
_atom_site_label
_atom_site_type_symbol
_atom_site_fract_x
_atom_site_fract_y
_atom_site_fract_z
Cu1 Cu 0.055 0.000 0.330
Cu2 Cu 0.171 0.000 0.993
Ag1 Ag 0.000 0.500 0.000
Ag2 Ag 0.106 0.500 0.662
Ag3 Ag 0.216 0.500 0.319
```

Formation enthalpy at 0 K (meV per atom): 90.6